A plane-wave DFT calculation with PBE was carried out for SrBH2 after structural relaxation.

Lattice parameters (Å, degrees): 5.807 5.807 5.807 137.99 137.99 60.93
Fractional coordinates of all 8 atoms:
Sr: 0.375 0.625 0.750
Sr: 0.625 0.375 0.250
B: 0.125 0.875 0.250
B: 0.875 0.125 0.750
H: 0.000 0.000 0.000
H: 0.000 0.000 0.500
H: 0.000 0.500 0.000
H: 0.500 0.000 0.500

Values from the calculation:
Size of the total moment ... 0.00 μB/cell
Space group ... I4_1/amd, No. 141
Crystal system ... tetragonal

A plane-wave DFT calculation with PBE was carried out for SrBH4 after structural relaxation.

Lattice parameters (Å, degrees): 6.077 6.077 4.801 90.00 90.00 144.75
Fractional coordinates of all 12 atoms:
Sr: 0.116 0.884 0.750
Sr: 0.884 0.116 0.250
B: 0.398 0.602 0.750
B: 0.602 0.398 0.250
H: 0.095 0.905 0.250
H: 0.322 0.678 0.549
H: 0.322 0.678 0.951
H: 0.500 0.500 0.000
H: 0.500 0.500 0.500
H: 0.678 0.322 0.049
H: 0.678 0.322 0.451
H: 0.905 0.095 0.750

Values from the calculation:
Size of the total moment ... 0.00 μB/cell
Space group ... Cmcm, No. 63
Crystal system ... orthorhombic

Table of energy (eV per cell), in record order: -27.0, -43.6